Entry 1:
Computed, not measured: crystalline NaTm at its relaxed geometry at the PBE-GGA level of DFT.

## Properties
ΔE to the lowest computed polymorph = 1.12 eV/f.u.
Magnetization = 0.00 μB per formula unit

Unit cell a=6.2672 b=6.2672 c=6.2672 alpha=90.00 beta=90.00 gamma=90.00
Closest atoms and distances in Å follow each position.
Positions (direct):
Na 0.0000 0.0000 0.0000  6 Tm 3.13
Na 0.0000 0.5000 0.5000  6 Tm 3.13
Na 0.5000 0.0000 0.5000  6 Tm 3.13
Na 0.5000 0.5000 0.0000  6 Tm 3.13
Tm 0.0000 0.0000 0.5000  6 Na 3.13
Tm 0.0000 0.5000 0.0000  6 Na 3.13
Tm 0.5000 0.0000 0.0000  6 Na 3.13
Tm 0.5000 0.5000 0.5000  6 Na 3.13

***

Entry 2:
Computed, not measured: crystalline NaTm at its relaxed geometry at the PBE-GGA level of DFT.

## Properties
ΔE to the lowest computed polymorph = 2.08 eV/f.u.
Magnetization = 0.00 μB per formula unit

Unit cell a=5.1237 b=5.1237 c=6.3660 alpha=90.00 beta=90.00 gamma=120.00
Closest atoms and distances in Å follow each position.
Positions (direct):
Na 0.3333 0.6667 0.0000  5 Tm 2.96-3.21
Na 0.6667 0.3333 0.5000  5 Tm 2.96-3.21
Tm 0.3333 0.6667 0.4965  5 Na 2.96-3.21
Tm 0.6667 0.3333 0.9965  5 Na 2.96-3.21

***

Entry 3:
Computed, not measured: crystalline NaTmW at its relaxed geometry at the PBE-GGA level of DFT.

## Properties
ΔE to the lowest computed polymorph = 0.00 eV/f.u.
Magnetization = 3.22 μB per formula unit

Unit cell a=6.9683 b=6.9683 c=6.9683 alpha=90.00 beta=90.00 gamma=90.00
Closest atoms and distances in Å follow each position.
Positions (direct):
Na 0.0000 0.0000 0.0000  4 W 3.02
Na 0.0000 0.5000 0.5000  4 W 3.02
Na 0.5000 0.0000 0.5000  4 W 3.02
Na 0.5000 0.5000 0.0000  4 W 3.02
Tm 0.0000 0.0000 0.5000  4 W 3.02
Tm 0.0000 0.5000 0.0000  4 W 3.02
Tm 0.5000 0.0000 0.0000  4 W 3.02
Tm 0.5000 0.5000 0.5000  4 W 3.02
W 0.2500 0.2500 0.2500  4 Na 3.02, 4 Tm 3.02
W 0.2500 0.7500 0.7500  4 Na 3.02, 4 Tm 3.02
W 0.7500 0.2500 0.7500  4 Na 3.02, 4 Tm 3.02
W 0.7500 0.7500 0.2500  4 Na 3.02, 4 Tm 3.02

***

Entry 4:
Computed, not measured: crystalline NaTmW at its relaxed geometry at the PBE-GGA level of DFT.

## Properties
ΔE to the lowest computed polymorph = 0.48 eV/f.u.
Magnetization = 3.10 μB per formula unit

Unit cell a=6.9480 b=6.9480 c=6.9480 alpha=90.00 beta=90.00 gamma=90.00
Closest atoms and distances in Å follow each position.
Positions (direct):
Na 0.0000 0.0000 0.0000  4 Tm 3.01
Na 0.0000 0.5000 0.5000  4 Tm 3.01
Na 0.5000 0.0000 0.5000  4 Tm 3.01
Na 0.5000 0.5000 0.0000  4 Tm 3.01
Tm 0.2500 0.2500 0.2500  4 W 3.01, 4 Na 3.01
Tm 0.2500 0.7500 0.7500  4 W 3.01, 4 Na 3.01
Tm 0.7500 0.2500 0.7500  4 W 3.01, 4 Na 3.01
Tm 0.7500 0.7500 0.2500  4 W 3.01, 4 Na 3.01
W 0.0000 0.0000 0.5000  4 Tm 3.01
W 0.0000 0.5000 0.0000  4 Tm 3.01
W 0.5000 0.0000 0.0000  4 Tm 3.01
W 0.5000 0.5000 0.5000  4 Tm 3.01

***

Q: What is the ΔE to the lowest computed polymorph in the second record?
A: 2.08 eV/f.u.